Entry w
This record from the Alexandria database describes a relaxed structure of TmTh2Tc. The functional is GGA-PBE.

a b c (Å): 6.2510 7.2956 9.7284
angles (deg): 90.00 90.00 90.00
Closest atoms and distances in Å follow each position.
Atoms (fractional coordinates):
Tc  0.5884  0.1157  0.7500  4 Th 2.82-2.84, 2 Tm 2.90-2.99
Tc  0.9116  0.6157  0.7500  4 Th 2.82-2.84, 2 Tm 2.90-2.99
Tc  0.4116  0.8843  0.2500  4 Th 2.82-2.84, 2 Tm 2.90-2.99
Th  0.6689  0.8294  0.9374  2 Tc 2.82-2.84
Tm  0.3539  0.4594  0.7500  2 Tc 2.90-2.99
Tm  0.1461  0.9594  0.7500  2 Tc 2.90-2.99
Tm  0.6461  0.5406  0.2500  2 Tc 2.90-2.99
Th  0.8311  0.3294  0.9374  2 Tc 2.82-2.84
Th  0.3311  0.1706  0.0626  2 Tc 2.82-2.84
Tm  0.8539  0.0406  0.2500  2 Tc 2.90-2.99
Tc  0.0884  0.3843  0.2500  4 Th 2.82-2.84, 2 Tm 2.90-2.99
Th  0.6689  0.8294  0.5626  2 Tc 2.82-2.84
Th  0.3311  0.1706  0.4374  2 Tc 2.82-2.84
Th  0.1689  0.6706  0.4374  2 Tc 2.82-2.84
Th  0.8311  0.3294  0.5626  2 Tc 2.82-2.84
Th  0.1689  0.6706  0.0626  2 Tc 2.82-2.84

Calculated values
Crystal system: orthorhombic
N(E_F) in states/eV/cell: 18.6
Space-group type: No. 62

=====

Entry x
This record from the Alexandria database describes a relaxed structure of TmTh2Tc. The functional is GGA-PBE.

a b c (Å): 3.5433 3.5433 8.5734
angles (deg): 90.00 90.00 90.00
Closest atoms and distances in Å follow each position.
Atoms (fractional coordinates):
Th  0.0000  0.0000  0.7919  4 Tc 3.08
Th  0.0000  0.0000  0.2081  4 Tc 3.08
Tc  0.5000  0.5000  0.0000  8 Th 3.08
Tm  0.5000  0.5000  0.5000  8 Th 3.54, 4 Tm 3.54

Calculated values
Crystal system: tetragonal
N(E_F) in states/eV/cell: 6.4
Space-group type: No. 123

=====

Entry y
This record from the Alexandria database describes a relaxed structure of TmTh2Tc. The functional is GGA-PBE.

a b c (Å): 3.8153 3.8153 10.4640
angles (deg): 79.50 79.50 60.00
Closest atoms and distances in Å follow each position.
Atoms (fractional coordinates):
Tc  0.5000  0.5000  0.5000  6 Th 2.78
Tm  0.0000  0.0000  0.0000  2 Th 3.42, 6 Tm 3.82
Th  0.8885  0.8885  0.3344  3 Tc 2.78
Th  0.1115  0.1115  0.6656  3 Tc 2.78

Calculated values
Crystal system: trigonal
N(E_F) in states/eV/cell: 5.0
Space-group type: No. 166

=====

Result of the stability comparison: entry y is the least stable of them.

=====

Entry w
This record from the Alexandria database describes a relaxed structure of ThUTc. The functional is GGA-PBE.

a b c (Å): 3.5260 3.5260 6.0637
angles (deg): 106.90 106.90 90.00
Closest atoms and distances in Å follow each position.
Atoms (fractional coordinates):
U  0.3020  0.3020  0.6040  4 Tc 2.74
Tc  0.7001  0.7001  0.4003  4 U 2.74
Th  0.9979  0.9979  0.9958  5 Tc 3.29-3.35, 5 U 3.30-3.36, 4 Th 3.53

Calculated values
Crystal system: tetragonal
N(E_F) in states/eV/cell: 4.9
Space-group type: No. 107

=====

Entry x
This record from the Alexandria database describes a relaxed structure of ThUTc. The functional is GGA-PBE.

a b c (Å): 3.2969 4.7914 4.7914
angles (deg): 120.00 90.00 90.00
Closest atoms and distances in Å follow each position.
Atoms (fractional coordinates):
Th  0.6563  0.3333  0.6667  3 U 2.99, 3 Tc 3.03, 2 Th 3.30
U  0.3133  0.6667  0.3333  3 Tc 2.92, 3 Th 2.99
Tc  0.0303  0.0000  0.0000  3 U 2.92, 3 Th 3.03

Calculated values
Crystal system: trigonal
N(E_F) in states/eV/cell: 5.3
Space-group type: No. 156

=====

Result of the stability comparison: entry x is the least stable of them.